Compound: Os2RhAu
Source: Alexandria via LeMat-Bulk
Functional: PBE
Structure: optimized geometry

Space group   Imm2, No. 44
ρ   17.52 g/cm³
Relative energy among the computed polymorphs   328 meV/atom
ΔE_f   0.54 eV/atom

Lattice parameters (Å, degrees): 5.8099 5.8099 5.8099 152.82 133.65 54.56
Sites, in units of the cell vectors:
1 Os 0.0000 0.0000 0.0000
2 Os 0.7971 0.2971 0.5000
3 Rh 0.5609 0.5609 0.0000
4 Au 0.2511 0.7511 0.5000